1.
The following is a GGA-PBE calculation of crystalline ScPb3F8 at its relaxed geometry, from the Alexandria database.

Cell lengths 5.8144, 5.8144, 5.8144 Å; angles 90.00, 90.00, 90.00 degrees
Closest atoms and distances in Å follow each position.
Sites, in units of the cell vectors:
1 Pb 0.5000 0.5000 0.0000  8 F 2.64
2 F 0.7819 0.2181 0.2181  1 Sc 2.20
3 Sc 0.0000 0.0000 0.0000  8 F 2.20
4 F 0.2181 0.2181 0.2181  1 Sc 2.20
5 F 0.7819 0.7819 0.2181  1 Sc 2.20
6 F 0.2181 0.2181 0.7819  1 Sc 2.20
7 F 0.7819 0.7819 0.7819  1 Sc 2.20
8 F 0.2181 0.7819 0.7819  1 Sc 2.20
9 F 0.2181 0.7819 0.2181  1 Sc 2.20
10 Pb 0.0000 0.5000 0.5000  8 F 2.64
11 F 0.7819 0.2181 0.7819  1 Sc 2.20
12 Pb 0.5000 0.0000 0.5000  8 F 2.64

* energy relative to the elements, uncorrected: -2665 meV per atom
* calculated volume: 196.6 Å³ per cell
* Fermi-level density of states: 2.70 states/eV per cell
* theoretical density: 6.91 g/cm3
* space group: Pm-3m, No. 221



2.
The following is a GGA-PBE calculation of crystalline Tb2CeDy5 at its relaxed geometry, from the Alexandria database.

Cell lengths 5.0112, 7.0937, 14.1892 Å; angles 90.00, 90.00, 90.00 degrees
Closest atoms and distances in Å follow each position.
Sites, in units of the cell vectors:
1 Dy 0.0000 0.5007 0.7500  4 Tb 3.54-3.57, 7 Dy 3.54-3.57, 1 Ce 3.55
2 Dy 0.5000 0.2544 0.8761  4 Tb 3.49-3.60, 2 Ce 3.52, 6 Dy 3.54-3.57
3 Tb 0.5000 0.7465 0.8762  10 Dy 3.49-3.60, 2 Ce 3.52
4 Ce 0.0000 0.0000 0.5000  8 Dy 3.52-3.55, 4 Tb 3.52
5 Dy 0.0000 0.0000 0.0000  2 Ce 3.55, 6 Dy 3.55, 4 Tb 3.55
6 Dy 0.0000 0.5000 0.5000  2 Ce 3.55, 6 Dy 3.55, 4 Tb 3.55
7 Tb 0.5000 0.2535 0.1238  10 Dy 3.49-3.60, 2 Ce 3.52
8 Dy 0.5000 0.7456 0.1239  4 Tb 3.49-3.60, 2 Ce 3.52, 6 Dy 3.54-3.57
9 Dy 0.0000 0.9993 0.2500  4 Tb 3.54-3.57, 7 Dy 3.54-3.57, 1 Ce 3.55
10 Ce 0.0000 0.5000 0.0000  8 Dy 3.52-3.55, 4 Tb 3.52
11 Dy 0.5000 0.2456 0.3761  4 Tb 3.49-3.60, 2 Ce 3.52, 6 Dy 3.54-3.57
12 Tb 0.5000 0.7535 0.3762  10 Dy 3.49-3.60, 2 Ce 3.52
13 Tb 0.5000 0.2465 0.6238  10 Dy 3.49-3.60, 2 Ce 3.52
14 Dy 0.0000 0.0007 0.7500  4 Tb 3.54-3.57, 7 Dy 3.54-3.57, 1 Ce 3.55
15 Dy 0.5000 0.7544 0.6239  4 Tb 3.49-3.60, 2 Ce 3.52, 6 Dy 3.54-3.57
16 Dy 0.0000 0.4993 0.2500  4 Tb 3.54-3.57, 7 Dy 3.54-3.57, 1 Ce 3.55

* calculated volume: 504.4 Å³ per cell
* Fermi-level density of states: 24.42 states/eV per cell
* energy relative to the elements: 0.040 eV per atom
* theoretical density: 8.37 g/cm3
* space group: Pbam, No. 55



3.
The following is a GGA-PBE calculation of crystalline MnCoRu at its relaxed geometry, from the Alexandria database.

Cell lengths 3.8602, 3.8602, 3.8602 Å; angles 60.00, 60.00, 60.00 degrees
Closest atoms and distances in Å follow each position.
Sites, in units of the cell vectors:
1 Ru 0.0000 0.0000 0.0000  4 Mn 2.36
2 Co 0.5000 0.5000 0.5000  4 Mn 2.36
3 Mn 0.7500 0.7500 0.7500  4 Co 2.36, 4 Ru 2.36

* calculated volume: 40.7 Å³ per cell
* Fermi-level density of states: 3.54 states/eV per cell
* energy relative to the elements: 0.525 eV per atom
* theoretical density: 8.78 g/cm3
* space group: F-43m, No. 216



4.
The following is a GGA-PBE calculation of crystalline YZrSi2S at its relaxed geometry, from the Alexandria database.

Cell lengths 4.7127, 4.8807, 4.7127 Å; angles 90.00, 90.00, 90.00 degrees
Closest atoms and distances in Å follow each position.
Sites, in units of the cell vectors:
1 S 0.0000 0.0000 0.0000  4 Si 2.36, 2 Y 2.44
2 Si 0.0000 0.0000 0.5000  2 S 2.36
3 Zr 0.5000 0.5000 0.5000  4 Y 3.33, 8 Si 3.39
4 Y 0.0000 0.5000 0.0000  2 S 2.44
5 Si 0.5000 0.0000 0.0000  2 S 2.36

* energy relative to the elements, uncorrected: 199 meV per atom
* calculated volume: 108.4 Å³ per cell
* Fermi-level density of states: 4.48 states/eV per cell
* theoretical density: 4.11 g/cm3
* space group: P4/mmm, No. 123



5.
The following is a GGA-PBE calculation of crystalline Mg3Ti2O7 at its relaxed geometry, from the Alexandria database.

Cell lengths 9.3215, 9.3215, 5.3679 Å; angles 90.00, 90.00, 147.66 degrees
Closest atoms and distances in Å follow each position.
Sites, in units of the cell vectors:
1 Mg 0.4367 0.0482 0.1799  4 O 2.02-2.11
2 O 0.8418 0.0018 0.5798  2 Ti 1.91-2.09, 1 Mg 2.07
3 O 0.1582 0.9982 0.0798  2 Ti 1.91-2.09, 1 Mg 2.07
4 O 0.6645 0.0770 0.3050  1 Ti 1.92, 3 Mg 2.02-2.11
5 Ti 0.1348 0.3471 0.7350  6 O 1.90-2.09
6 O 0.3627 0.3627 0.6885  2 Ti 2.02, 2 Mg 2.03-2.18
7 O 0.9982 0.1582 0.0798  2 Ti 1.91-2.09, 1 Mg 2.07
8 O 0.3355 0.9230 0.8050  1 Ti 1.92, 3 Mg 2.02-2.11
9 Mg 0.5633 0.9518 0.6799  4 O 2.02-2.11
10 O 0.9230 0.3355 0.8050  1 Ti 1.92, 3 Mg 2.02-2.11
11 Mg 0.2613 0.2613 0.2941  4 O 2.03-2.18
12 Mg 0.9518 0.5633 0.6799  4 O 2.02-2.11
13 O 0.5689 0.3048 0.4490  2 Ti 1.90-2.08, 1 Mg 2.08
14 O 0.6373 0.6373 0.1885  2 Ti 2.02, 2 Mg 2.03-2.18
15 O 0.6952 0.4311 0.9490  2 Ti 1.90-2.08, 1 Mg 2.08
16 Ti 0.3471 0.1348 0.7350  6 O 1.90-2.09
17 Mg 0.7387 0.7387 0.7941  4 O 2.03-2.18
18 Mg 0.0482 0.4367 0.1799  4 O 2.02-2.11
19 O 0.0770 0.6645 0.3050  1 Ti 1.92, 3 Mg 2.02-2.11
20 O 0.3048 0.5689 0.4490  2 Ti 1.90-2.08, 1 Mg 2.08
21 O 0.4311 0.6952 0.9490  2 Ti 1.90-2.08, 1 Mg 2.08
22 Ti 0.8652 0.6529 0.2350  6 O 1.90-2.09
23 O 0.0018 0.8418 0.5798  2 Ti 1.91-2.09, 1 Mg 2.07
24 Ti 0.6529 0.8652 0.2350  6 O 1.90-2.09

* energy relative to the elements, uncorrected: -2843 meV per atom
* calculated volume: 249.5 Å³ per cell
* Fermi-level density of states: 0.00 states/eV per cell
* theoretical density: 3.74 g/cm3
* space group: Cmc2_1, No. 36



6.
The following is a GGA-PBE calculation of crystalline TeIr2Br at its relaxed geometry, from the Alexandria database.

Cell lengths 4.7348, 4.7348, 4.7348 Å; angles 60.00, 60.00, 60.00 degrees
Closest atoms and distances in Å follow each position.
Sites, in units of the cell vectors:
1 Ir 0.2500 0.2500 0.2500  4 Br 2.90, 4 Ir 2.90
2 Te 0.7500 0.7500 0.7500  4 Ir 2.90, 4 Br 2.90
3 Ir 0.0000 0.0000 0.0000  4 Te 2.90, 4 Ir 2.90
4 Br 0.5000 0.5000 0.5000  4 Te 2.90, 4 Ir 2.90

* energy relative to the elements, uncorrected: 1095 meV per atom
* calculated volume: 75.1 Å³ per cell
* Fermi-level density of states: 4.35 states/eV per cell
* theoretical density: 13.10 g/cm3
* space group: F-43m, No. 216



7.
The following is a GGA-PBE calculation of crystalline Sc2AgP at its relaxed geometry, from the Alexandria database.

Cell lengths 3.3954, 3.3954, 6.4362 Å; angles 90.00, 90.00, 90.00 degrees
Closest atoms and distances in Å follow each position.
Sites, in units of the cell vectors:
1 Ag 0.5000 0.5000 0.0000  8 Sc 2.98, 2 P 3.22
2 Sc 0.0000 0.0000 0.7261  4 P 2.81, 1 Sc 2.91, 4 Ag 2.98
3 Sc 0.0000 0.0000 0.2739  4 P 2.81, 1 Sc 2.91, 4 Ag 2.98
4 P 0.5000 0.5000 0.5000  8 Sc 2.81

* calculated volume: 74.2 Å³ per cell
* Fermi-level density of states: 3.08 states/eV per cell
* energy relative to the elements: -0.687 eV per atom
* theoretical density: 5.12 g/cm3
* space group: P4/mmm, No. 123



8.
The following is a GGA-PBE calculation of crystalline NaZr2Te4 at its relaxed geometry, from the Alexandria database.

Cell lengths 4.1377, 7.1694, 14.7097 Å; angles 90.00, 90.00, 106.77 degrees
Closest atoms and distances in Å follow each position.
Sites, in units of the cell vectors:
1 Zr 0.1333 0.2667 0.0659  6 Te 2.86-2.96
2 Te 0.2246 0.4492 0.8834  3 Zr 2.94-2.96, 2 Na 3.27
3 Te 0.5000 0.0000 0.5000  4 Zr 2.93
4 Te 0.7754 0.5508 0.3834  3 Zr 2.94-2.96, 2 Na 3.27
5 Zr 0.8667 0.7333 0.5659  6 Te 2.86-2.96
6 Na 0.3923 0.7846 0.2500  6 Te 3.15-3.27
7 Na 0.6077 0.2154 0.7500  6 Te 3.15-3.27
8 Te 0.7754 0.5508 0.1166  3 Zr 2.94-2.96, 2 Na 3.27
9 Zr 0.1333 0.2667 0.4341  6 Te 2.86-2.96
10 Te 0.0658 0.1316 0.2500  2 Zr 2.86, 2 Na 3.15
11 Te 0.9342 0.8684 0.7500  2 Zr 2.86, 2 Na 3.15
12 Te 0.2246 0.4492 0.6166  3 Zr 2.94-2.96, 2 Na 3.27
13 Zr 0.8667 0.7333 0.9341  6 Te 2.86-2.96
14 Te 0.5000 0.0000 0.0000  4 Zr 2.93

* energy relative to the elements, uncorrected: -828 meV per atom
* calculated volume: 417.8 Å³ per cell
* Fermi-level density of states: 5.58 states/eV per cell
* theoretical density: 5.69 g/cm3
* space group: Cmcm, No. 63